Record 1
# NdThBi2 PBE relaxed
data_NdThBi2
_symmetry_space_group_name_H-M 'R 3 m'
_symmetry_Int_Tables_number 160
_symmetry_space_group_name_Hall 'R 3 -2"'
_cell_length_a 4.5335
_cell_length_b 4.5335
_cell_length_c 23.6831
_cell_angle_alpha 90.00
_cell_angle_beta 90.00
_cell_angle_gamma 120.00
loop_
_atom_site_label
_atom_site_type_symbol
_atom_site_fract_x
_atom_site_fract_y
_atom_site_fract_z
Nd1 Nd 0.0000 0.0000 0.0000
Th1 Th 0.0000 0.0000 0.1723
Bi1 Bi 0.0000 0.0000 0.5852
Bi2 Bi 0.0000 0.0000 0.7546
# Magnetic moment, μB per atom: 0.000
# Excess energy over the best structure of this formula in the dataset, eV per formula unit: 0.35
# Energy relative to the elements, eV/atom: -0.68

---

Record 2
# NdThBi2 PBE relaxed
data_NdThBi2
_symmetry_space_group_name_H-M 'I 41/a m d'
_symmetry_Int_Tables_number 141
_cell_length_a 6.510
_cell_length_b 6.510
_cell_length_c 13.015
_cell_angle_alpha 90.00
_cell_angle_beta 90.00
_cell_angle_gamma 90.00
loop_
_symmetry_equiv_pos_as_xyz
'x,y,z'
'-x,-y,-z'
'-y+1/4,x+3/4,z+1/4'
'y+1/4,-x+3/4,-z+1/4'
'-x+1/2,-y,z+1/2'
'x+1/2,y,-z+1/2'
'y+1/4,-x+1/4,z+3/4'
'-y+1/4,x+1/4,-z+3/4'
'x,-y,-z'
'-x,y,z'
'-y+1/4,-x+1/4,-z+3/4'
'y+1/4,x+1/4,z+3/4'
'-x+1/2,y,-z+1/2'
'x+1/2,-y,z+1/2'
'y+1/4,x+3/4,-z+1/4'
'-y+1/4,-x+3/4,z+1/4'
'x+1/2,y+1/2,z+1/2'
'-x+1/2,-y+1/2,-z+1/2'
'-y+3/4,x+1/4,z+3/4'
'y+3/4,-x+1/4,-z+3/4'
'-x,-y+1/2,z'
'x,y+1/2,-z'
'y+3/4,-x+3/4,z+1/4'
'-y+3/4,x+3/4,-z+1/4'
'x+1/2,-y+1/2,-z+1/2'
'-x+1/2,y+1/2,z+1/2'
'-y+3/4,-x+3/4,-z+1/4'
'y+3/4,x+3/4,z+1/4'
'-x,y+1/2,-z'
'x,-y+1/2,z'
'y+3/4,x+1/4,-z+3/4'
'-y+3/4,-x+1/4,z+3/4'
loop_
_atom_site_label
_atom_site_type_symbol
_atom_site_fract_x
_atom_site_fract_y
_atom_site_fract_z
Nd1 Nd 0.000 0.250 0.375
Th1 Th 0.000 0.250 0.875
Bi1 Bi 0.000 0.250 0.124
# Magnetic moment, μB per atom: 0.000
# Excess energy over the best structure of this formula in the dataset, eV per formula unit: 0.00
# Energy relative to the elements, eV/atom: -0.77

---

Record 3
# Nd2Th2Bi5 PBE relaxed
data_Nd2Th2Bi5
_symmetry_space_group_name_H-M 'C m c e'
_symmetry_Int_Tables_number 64
_symmetry_space_group_name_Hall '-C 2ac 2'
_cell_length_a 16.276
_cell_length_b 8.558
_cell_length_c 8.609
_cell_angle_alpha 90.00
_cell_angle_beta 90.00
_cell_angle_gamma 90.00
loop_
_atom_site_label
_atom_site_type_symbol
_atom_site_fract_x
_atom_site_fract_y
_atom_site_fract_z
Nd1 Nd 0.000 0.153 0.155
Th1 Th 0.193 0.000 0.500
Bi1 Bi 0.000 0.000 0.500
Bi2 Bi 0.142 0.156 0.846
# Magnetic moment, μB per atom: 0.000
# Energy relative to the elements, eV/atom: -0.66

---

Record 4
# NdTh2Bi4 PBE relaxed
data_NdTh2Bi4
_symmetry_space_group_name_H-M 'C m c m'
_symmetry_Int_Tables_number 63
_symmetry_space_group_name_Hall '-C 2c 2'
_cell_length_a 4.570
_cell_length_b 15.314
_cell_length_c 14.742
_cell_angle_alpha 90.00
_cell_angle_beta 90.00
_cell_angle_gamma 90.00
loop_
_atom_site_label
_atom_site_type_symbol
_atom_site_fract_x
_atom_site_fract_y
_atom_site_fract_z
Nd1 Nd 0.000 0.111 0.250
Th1 Th 0.000 0.364 0.061
Bi1 Bi 0.000 0.000 0.000
Bi2 Bi 0.000 0.268 0.635
Bi3 Bi 0.000 0.460 0.250
# Magnetic moment, μB per atom: 0.000
# Excess energy over the best structure of this formula in the dataset, eV per formula unit: 1.60
# Energy relative to the elements, eV/atom: -0.44

---

Record 5
# Nd3Th4Bi8 PBE relaxed
data_Nd3Th4Bi8
_symmetry_space_group_name_H-M 'C 1 2/m 1'
_symmetry_Int_Tables_number 12
_cell_length_a 12.929
_cell_length_b 12.976
_cell_length_c 9.168
_cell_angle_alpha 90.00
_cell_angle_beta 134.80
_cell_angle_gamma 90.00
loop_
_symmetry_equiv_pos_as_xyz
'x,y,z'
'-x,-y,-z'
'-x,y,-z'
'x,-y,z'
'x+1/2,y+1/2,z'
'-x+1/2,-y+1/2,-z'
'-x+1/2,y+1/2,-z'
'x+1/2,-y+1/2,z'
loop_
_atom_site_label
_atom_site_type_symbol
_atom_site_fract_x
_atom_site_fract_y
_atom_site_fract_z
Nd1 Nd 0.000 0.000 0.000
Nd2 Nd 0.250 0.250 0.000
Th1 Th 0.000 0.500 0.000
Th2 Th 0.000 0.500 0.500
Th3 Th 0.250 0.250 0.500
Bi1 Bi 0.000 0.244 0.500
Bi2 Bi 0.000 0.250 0.000
Bi3 Bi 0.243 0.000 0.501
Bi4 Bi 0.247 0.000 0.992
# Magnetic moment, μB per atom: 0.000
# Energy relative to the elements, eV/atom: -0.66

---

Record 6
# NdThBi2 PBE relaxed
data_NdThBi2
_symmetry_space_group_name_H-M 'P 4/m m m'
_symmetry_Int_Tables_number 123
_symmetry_space_group_name_Hall '-P 4 2'
_cell_length_a 5.844
_cell_length_b 5.844
_cell_length_c 3.608
_cell_angle_alpha 90.00
_cell_angle_beta 90.00
_cell_angle_gamma 90.00
loop_
_atom_site_label
_atom_site_type_symbol
_atom_site_fract_x
_atom_site_fract_y
_atom_site_fract_z
Nd1 Nd 0.000 0.000 0.000
Th1 Th 0.500 0.500 0.000
Bi1 Bi 0.000 0.500 0.500
# Magnetic moment, μB per atom: 0.000
# Excess energy over the best structure of this formula in the dataset, eV per formula unit: 0.63
# Energy relative to the elements, eV/atom: -0.61

---

Record 7
# NdTh3Bi6 PBE relaxed
data_NdTh3Bi6
_symmetry_space_group_name_H-M 'C 1 2/m 1'
_symmetry_Int_Tables_number 12
_cell_length_a 11.462
_cell_length_b 6.634
_cell_length_c 11.116
_cell_angle_alpha 90.00
_cell_angle_beta 110.02
_cell_angle_gamma 90.00
loop_
_symmetry_equiv_pos_as_xyz
'x,y,z'
'-x,-y,-z'
'-x,y,-z'
'x,-y,z'
'x+1/2,y+1/2,z'
'-x+1/2,-y+1/2,-z'
'-x+1/2,y+1/2,-z'
'x+1/2,-y+1/2,z'
loop_
_atom_site_label
_atom_site_type_symbol
_atom_site_fract_x
_atom_site_fract_y
_atom_site_fract_z
Nd1 Nd 0.000 0.000 0.000
Th1 Th 0.000 0.500 0.500
Th2 Th 0.178 0.000 0.535
Bi1 Bi 0.003 0.246 0.254
Bi2 Bi 0.249 0.000 0.254
# Magnetic moment, μB per atom: 0.000
# Energy relative to the elements, eV/atom: -0.19

---

Record 8
# Nd2TmThBi4 PBE relaxed
data_Nd2TmThBi4
_symmetry_space_group_name_H-M 'P 1 2/m 1'
_symmetry_Int_Tables_number 10
_cell_length_a 7.887
_cell_length_b 4.573
_cell_length_c 7.922
_cell_angle_alpha 90.00
_cell_angle_beta 109.48
_cell_angle_gamma 90.00
loop_
_symmetry_equiv_pos_as_xyz
'x,y,z'
'-x,-y,-z'
'-x,y,-z'
'x,-y,z'
loop_
_atom_site_label
_atom_site_type_symbol
_atom_site_fract_x
_atom_site_fract_y
_atom_site_fract_z
Nd1 Nd 0.000 0.000 0.000
Nd2 Nd 0.500 0.500 0.000
Tm1 Tm 0.000 0.500 0.500
Th1 Th 0.500 0.000 0.500
Bi1 Bi 0.242 0.000 0.741
Bi2 Bi 0.246 0.500 0.254
# Magnetic moment, μB per atom: 0.000
# Energy relative to the elements, eV/atom: -0.82

---

Record 9
# NdTmTh2Bi4 PBE relaxed
data_NdTmTh2Bi4
_symmetry_space_group_name_H-M 'P 1 2/m 1'
_symmetry_Int_Tables_number 10
_cell_length_a 7.872
_cell_length_b 4.570
_cell_length_c 7.915
_cell_angle_alpha 90.00
_cell_angle_beta 109.65
_cell_angle_gamma 90.00
loop_
_symmetry_equiv_pos_as_xyz
'x,y,z'
'-x,-y,-z'
'-x,y,-z'
'x,-y,z'
loop_
_atom_site_label
_atom_site_type_symbol
_atom_site_fract_x
_atom_site_fract_y
_atom_site_fract_z
Nd1 Nd 0.000 0.000 0.000
Tm1 Tm 0.000 0.500 0.500
Th1 Th 0.500 0.000 0.500
Th2 Th 0.500 0.500 0.000
Bi1 Bi 0.241 0.000 0.742
Bi2 Bi 0.246 0.500 0.254
# Magnetic moment, μB per atom: 0.000
# Energy relative to the elements, eV/atom: -0.71

---

Record 10
# NdTm2ThBi4 PBE relaxed
data_NdTm2ThBi4
_symmetry_space_group_name_H-M 'P 1 2/m 1'
_symmetry_Int_Tables_number 10
_cell_length_a 7.799
_cell_length_b 4.529
_cell_length_c 7.836
_cell_angle_alpha 90.00
_cell_angle_beta 109.52
_cell_angle_gamma 90.00
loop_
_symmetry_equiv_pos_as_xyz
'x,y,z'
'-x,-y,-z'
'-x,y,-z'
'x,-y,z'
loop_
_atom_site_label
_atom_site_type_symbol
_atom_site_fract_x
_atom_site_fract_y
_atom_site_fract_z
Nd1 Nd 0.000 0.000 0.000
Tm1 Tm 0.500 0.000 0.500
Tm2 Tm 0.500 0.500 0.000
Th1 Th 0.000 0.500 0.500
Bi1 Bi 0.262 0.000 0.754
Bi2 Bi 0.262 0.500 0.255
# Magnetic moment, μB per atom: 0.000
# Energy relative to the elements, eV/atom: -0.78

---

Record 11
# Nd2TmTh3Bi6 PBE relaxed
data_Nd2TmTh3Bi6
_symmetry_space_group_name_H-M 'C 1 2/m 1'
_symmetry_Int_Tables_number 12
_cell_length_a 19.945
_cell_length_b 4.579
_cell_length_c 9.132
_cell_angle_alpha 90.00
_cell_angle_beta 103.12
_cell_angle_gamma 90.00
loop_
_symmetry_equiv_pos_as_xyz
'x,y,z'
'-x,-y,-z'
'-x,y,-z'
'x,-y,z'
'x+1/2,y+1/2,z'
'-x+1/2,-y+1/2,-z'
'-x+1/2,y+1/2,-z'
'x+1/2,-y+1/2,z'
loop_
_atom_site_label
_atom_site_type_symbol
_atom_site_fract_x
_atom_site_fract_y
_atom_site_fract_z
Nd1 Nd 0.166 0.000 0.333
Tm1 Tm 0.000 0.500 0.000
Th1 Th 0.000 0.500 0.500
Th2 Th 0.169 0.000 0.834
Bi1 Bi 0.001 0.000 0.759
Bi2 Bi 0.162 0.500 0.081
Bi3 Bi 0.166 0.500 0.583
# Magnetic moment, μB per atom: 0.000
# Energy relative to the elements, eV/atom: -0.73

---

Record 12
# Nd2YTh3Bi6 PBE relaxed
data_Nd2YTh3Bi6
_symmetry_space_group_name_H-M 'C 1 2/m 1'
_symmetry_Int_Tables_number 12
_cell_length_a 19.980
_cell_length_b 4.588
_cell_length_c 9.148
_cell_angle_alpha 90.00
_cell_angle_beta 103.14
_cell_angle_gamma 90.00
loop_
_symmetry_equiv_pos_as_xyz
'x,y,z'
'-x,-y,-z'
'-x,y,-z'
'x,-y,z'
'x+1/2,y+1/2,z'
'-x+1/2,-y+1/2,-z'
'-x+1/2,y+1/2,-z'
'x+1/2,-y+1/2,z'
loop_
_atom_site_label
_atom_site_type_symbol
_atom_site_fract_x
_atom_site_fract_y
_atom_site_fract_z
Nd1 Nd 0.166 0.000 0.333
Y1 Y 0.000 0.500 0.000
Th1 Th 0.000 0.500 0.500
Th2 Th 0.168 0.000 0.834
Bi1 Bi 0.001 0.000 0.756
Bi2 Bi 0.164 0.500 0.082
Bi3 Bi 0.167 0.500 0.583
# Magnetic moment, μB per atom: 0.000
# Energy relative to the elements, eV/atom: -0.75